[1]
Here is a relaxed structure of LaBeIn2P from Alexandria via LeMat-Bulk. Energies are from PBE-GGA.

Output
Energy relative to the elements   0.4 eV/f.u.
Total DFT energy (no corrections)   -3.82 eV/atom
M_tot   0.00 μB/cell

Geometry as extended XYZ:
```
5
Lattice="5.7762 0.0000 0.0000 0.0000 5.7762 0.0000 0.0000 0.0000 3.8996" Properties=species:S:1:pos:R:3 pbc="T T T"
La 0.0000 0.0000 0.0000
Be 2.8881 2.8881 0.0000
In 0.0000 2.8881 1.9498
In 2.8881 0.0000 1.9498
P 2.8881 2.8881 1.9498
```

[2]
Here is a relaxed structure of Cs2UAg2S4 from Alexandria via LeMat-Bulk. Energies are from PBE-GGA.

Output
Total DFT energy (no corrections)   -4.89 eV/atom
Formation energy from raw total energies   -8.78 eV per formula unit
M_tot   2.00 μB/cell

Geometry as extended XYZ:
```
9
Lattice="7.6423 -2.0970 0.0000 7.6423 2.0970 0.0000 -2.6429 0.0000 7.7931" Properties=species:S:1:pos:R:3 pbc="T T T"
Cs 1.9152 0.0000 0.5291
Cs 10.7265 0.0000 7.2639
U -1.3215 0.0000 3.8965
Ag 3.5361 0.0000 4.0401
Ag 9.1056 0.0000 3.7530
S 1.0661 0.0000 5.2300
S 5.5716 0.0000 5.5658
S 7.0701 0.0000 2.2273
S 11.5756 0.0000 2.5630
```

[3]
Here is a relaxed structure of TbTcO4 from Alexandria via LeMat-Bulk. Energies are from PBE-GGA.

Output
E above lowest polymorph   0.00 eV per formula unit
Total DFT energy (no corrections)   -8.10 eV/atom
Formation energy from raw total energies   -13.76 eV per formula unit
M_tot   4.02 μB/cell

Geometry as extended XYZ:
```
24
Lattice="7.5999 0.0000 0.0000 0.0000 5.3369 0.0000 -1.2511 0.0000 7.3897" Properties=species:S:1:pos:R:3 pbc="T T T"
Tb 0.6396 1.1426 2.9148
Tb 0.0141 1.5259 6.6097
Tb 6.3348 3.8110 0.7800
Tb 5.7093 4.1943 4.4748
Tc 2.3127 3.8983 1.4850
Tc 1.6872 4.1070 5.1798
Tc 4.6617 1.2299 2.2099
Tc 4.0362 1.4386 5.9047
O 0.6260 2.7370 1.2797
O 0.0005 5.2683 4.9745
O 1.2125 0.0274 0.9099
O 0.5870 2.6411 4.6047
O 1.3227 3.4453 6.9783
O 1.9483 4.5600 3.2835
O 2.3521 0.5179 5.8959
O 2.9776 2.1505 2.2011
O 3.3713 3.1863 5.1886
O 3.9968 4.8190 1.4938
O 4.4006 0.7769 4.1062
O 5.0261 1.8916 0.4113
O 5.7619 2.6958 2.7849
O 5.1363 5.3095 6.4798
O 6.3484 0.0686 2.4151
O 5.7229 2.5999 6.1100
```

[4]
Here is a relaxed structure of CePm2Hg3 from Alexandria via LeMat-Bulk. Energies are from PBE-GGA.

Output
Energy relative to the elements   -2.5 eV/f.u.
Total DFT energy (no corrections)   -3.14 eV/atom
M_tot   2.19 μB/cell

Geometry as extended XYZ:
```
6
Lattice="3.8020 0.0000 0.0000 0.0000 3.8020 0.0000 0.0000 0.0000 11.5727" Properties=species:S:1:pos:R:3 pbc="T T T"
Ce 0.0000 0.0000 0.0000
Pm 0.0000 0.0000 3.8741
Pm 0.0000 0.0000 7.6986
Hg 1.9010 1.9010 1.9755
Hg 1.9010 1.9010 5.7864
Hg 1.9010 1.9010 9.5972
```

[5]
Here is a relaxed structure of Cd2GaSbI from Alexandria via LeMat-Bulk. Energies are from PBE-GGA.

Output
Total DFT energy (no corrections)   -1.92 eV/atom
Formation energy from raw total energies   0.95 eV per formula unit
M_tot   0.00 μB/cell

Geometry as extended XYZ:
```
5
Lattice="5.2816 0.0000 0.0000 0.0000 5.2816 0.0000 0.0000 0.0000 5.5155" Properties=species:S:1:pos:R:3 pbc="T T T"
Cd 0.0000 2.6408 0.0000
Cd 2.6408 0.0000 0.0000
Ga 0.0000 0.0000 0.0000
Sb 0.0000 0.0000 2.7578
I 2.6408 2.6408 2.7578
```

[6]
Here is a relaxed structure of SrHg2W from Alexandria via LeMat-Bulk. Energies are from PBE-GGA.

Output
E above lowest polymorph   0.45 eV per formula unit
Energy relative to the elements   2.6 eV/f.u.
Total DFT energy (no corrections)   -3.17 eV/atom
M_tot   0.88 μB/cell

Geometry as extended XYZ:
```
4
Lattice="4.7874 -1.5789 0.0000 4.7874 1.5789 0.0000 -0.9195 0.0000 6.4750" Properties=species:S:1:pos:R:3 pbc="T T T"
Sr 0.0000 0.0000 0.0000
Hg 1.6761 0.0000 4.5253
Hg 6.9793 0.0000 1.9497
W 4.3277 0.0000 3.2375
```

[7]
Here is a relaxed structure of ZrIn2HgAu from Alexandria via LeMat-Bulk. Energies are from PBE-GGA.

Output
Energy relative to the elements   3.9 eV/f.u.
Total DFT energy (no corrections)   -2.75 eV/atom
M_tot   0.00 μB/cell

Geometry as extended XYZ:
```
5
Lattice="5.2133 0.0000 0.0000 0.0000 5.2133 0.0000 0.0000 0.0000 5.4948" Properties=species:S:1:pos:R:3 pbc="T T T"
Zr 0.0000 0.0000 0.0000
In 0.0000 2.6066 2.7474
In 2.6066 0.0000 2.7474
Hg 0.0000 0.0000 2.7474
Au 2.6066 2.6066 0.0000
```

[8]
Here is a relaxed structure of LiIrRu from Alexandria via LeMat-Bulk. Energies are from PBE-GGA.

Output
E above lowest polymorph   0.00 eV per formula unit
Energy relative to the elements   0.0 eV/f.u.
Total DFT energy (no corrections)   -6.70 eV/atom
M_tot   0.00 μB/cell

Geometry as extended XYZ:
```
6
Lattice="4.0271 -2.2812 0.0000 4.0271 2.2812 0.0000 -2.6807 0.0000 4.3449" Properties=species:S:1:pos:R:3 pbc="T T T"
Li 2.6867 1.9006 2.1724
Li 4.0271 -1.9006 0.0000
Ir 5.3803 0.3700 0.0001
Ir 4.0399 -0.3700 2.1726
Ru 0.0081 0.3787 4.3293
Ru 1.3485 -0.3787 2.1568
```

The following calculated volume values (in A^3/atom) correspond, in order, to the records above: 26.0; 27.8; 12.5; 27.9; 30.8; 24.5; 29.9; 13.3.